1.
CsCu3Sb (GGA-PBE, optimized geometry); energy above the most stable polymorph in this dataset = 30.83 kcal/mol of atoms; SG = Pm-3m, No. 221
1.0
-3.580 -3.444 1.652
1.876 -3.558 -3.351
3.327 -1.699 3.667
Cs Cu Sb
1 3 1
Direct
0.000 0.000 0.000
0.000 0.000 0.500
0.000 0.500 0.000
0.500 0.000 0.000
0.500 0.500 0.500

=====

2.
ReWBr (GGA-PBE, optimized geometry); energy above the most stable polymorph in this dataset = 16.04 kcal/mol of atoms; SG = F-43m, No. 216
1.0
-0.133 -0.341 -4.338
-0.941 -3.825 -1.855
-3.814 -0.558 -2.024
W Re Br
1 1 1
Direct
0.000 0.000 0.000
0.750 0.750 0.750
0.500 0.500 0.500

=====

3.
HgIrAu2 (GGA-PBE, optimized geometry); formation energy = 1.29 eV per formula unit; SG = R3m, No. 160
1.0
-3.189 3.600 8.276
-2.550 0.857 9.186
-0.431 2.921 9.105
Au Hg Ir
2 1 1
Direct
0.002 0.002 0.002
0.252 0.252 0.252
0.498 0.498 0.498
0.748 0.748 0.748

=====

4.
CsLiSmCl5 (GGA-PBE, optimized geometry); uncorrected energy = -4.202 eV per atom; SG = C2/c, No. 15
1.0
-2.191 -4.653 -5.876
-0.499 -4.256 6.527
-7.749 6.809 0.839
Cl Sm Cs Li
10 2 2 2
Direct
0.067 0.933 0.250
0.893 0.292 0.104
0.231 0.370 0.589
0.370 0.231 0.089
0.933 0.067 0.750
0.708 0.107 0.396
0.107 0.708 0.896
0.292 0.893 0.604
0.630 0.769 0.911
0.769 0.630 0.411
0.000 0.000 0.000
0.000 0.000 0.500
0.659 0.341 0.750
0.341 0.659 0.250
0.691 0.309 0.250
0.309 0.691 0.750